Record 1
# RbLaNi2 PBE optimized geometry
data_RbLaNi2
_chemical_formula_sum 'Rb2 La2 Ni4'
_cell_length_a 7.893
_cell_length_b 7.893
_cell_length_c 6.565
_cell_angle_alpha 53.05
_cell_angle_beta 53.05
_cell_angle_gamma 90.00
_space_group_name_H-M_alt 'P 1'
_space_group_IT_number 1
loop_
_space_group_symop_operation_xyz
'x,y,z'
loop_
_atom_site_label
_atom_site_type_symbol
_atom_site_fract_x
_atom_site_fract_y
_atom_site_fract_z
Ni1 Ni 0.673 0.125 0.250
Ni2 Ni 0.077 0.625 0.250
Ni3 Ni 0.375 0.327 0.750
Ni4 Ni 0.875 0.923 0.750
Rb1 Rb 0.500 0.500 0.000
Rb2 Rb 0.250 0.750 0.500
La1 La 0.000 0.000 0.000
La2 La 0.750 0.250 0.500
# **Energy relative to the lowest polymorph listed for this composition**: 0.063 eV per atom
# **Calculated formation energy**: 2.24 eV per formula unit

=====

Record 2
# BaH2F4 PBE optimized geometry
data_BaH2F4
_chemical_formula_sum 'Ba1 H2 F4'
_cell_length_a 5.046
_cell_length_b 5.046
_cell_length_c 6.210
_cell_angle_alpha 66.03
_cell_angle_beta 66.03
_cell_angle_gamma 90.00
_space_group_name_H-M_alt 'P 1'
_space_group_IT_number 1
loop_
_space_group_symop_operation_xyz
'x,y,z'
loop_
_atom_site_label
_atom_site_type_symbol
_atom_site_fract_x
_atom_site_fract_y
_atom_site_fract_z
H1 H 0.631 0.631 0.738
H2 H 0.369 0.369 0.262
Ba1 Ba 0.000 0.000 0.000
F1 F 0.724 0.724 0.552
F2 F 0.276 0.276 0.448
F3 F 0.000 0.500 0.000
F4 F 0.500 0.000 0.000
# **Energy relative to the lowest polymorph listed for this composition**: 0.209 eV per atom

=====

Record 3
# CeNd2Sb PBE optimized geometry
data_CeNd2Sb
_chemical_formula_sum 'Ce1 Nd2 Sb1'
_cell_length_a 4.721
_cell_length_b 4.954
_cell_length_c 4.954
_cell_angle_alpha 90.00
_cell_angle_beta 90.00
_cell_angle_gamma 90.00
_space_group_name_H-M_alt 'P 1'
_space_group_IT_number 1
loop_
_space_group_symop_operation_xyz
'x,y,z'
loop_
_atom_site_label
_atom_site_type_symbol
_atom_site_fract_x
_atom_site_fract_y
_atom_site_fract_z
Sb1 Sb 0.500 0.000 0.000
Nd1 Nd 0.000 0.000 0.500
Nd2 Nd 0.000 0.500 0.000
Ce1 Ce 0.500 0.500 0.500
# **Energy relative to the lowest polymorph listed for this composition**: 0.000 eV per atom
# **Formation energy from raw total energies**: -520 meV per atom

=====

Record 4
# Pm2BeP3Rh4 PBE optimized geometry
data_Pm2BeP3Rh4
_chemical_formula_sum 'Pm2 Be1 P3 Rh4'
_cell_length_a 4.083
_cell_length_b 4.083
_cell_length_c 9.665
_cell_angle_alpha 90.00
_cell_angle_beta 90.00
_cell_angle_gamma 90.00
_space_group_name_H-M_alt 'P 1'
_space_group_IT_number 1
loop_
_space_group_symop_operation_xyz
'x,y,z'
loop_
_atom_site_label
_atom_site_type_symbol
_atom_site_fract_x
_atom_site_fract_y
_atom_site_fract_z
Pm1 Pm 0.500 0.000 0.257
Pm2 Pm 0.000 0.500 0.743
Be1 Be 0.500 0.500 0.500
P1 P 0.000 0.000 0.500
P2 P 0.500 0.000 0.859
P3 P 0.000 0.500 0.141
Rh1 Rh 0.500 0.500 0.000
Rh2 Rh 0.000 0.000 0.000
Rh3 Rh 0.500 0.000 0.615
Rh4 Rh 0.000 0.500 0.385
# **Calculated formation energy**: -10.55 eV per formula unit

=====

Record 5
# Mg2MnFe PBE optimized geometry
data_Mg2MnFe
_chemical_formula_sum 'Mg2 Mn1 Fe1'
_cell_length_a 4.927
_cell_length_b 4.927
_cell_length_c 4.904
_cell_angle_alpha 79.36
_cell_angle_beta 79.36
_cell_angle_gamma 33.88
_space_group_name_H-M_alt 'P 1'
_space_group_IT_number 1
loop_
_space_group_symop_operation_xyz
'x,y,z'
loop_
_atom_site_label
_atom_site_type_symbol
_atom_site_fract_x
_atom_site_fract_y
_atom_site_fract_z
Fe1 Fe 0.250 0.250 0.250
Mg1 Mg 0.995 0.995 0.007
Mg2 Mg 0.505 0.505 0.493
Mn1 Mn 0.750 0.750 0.750
# **Energy relative to the lowest polymorph listed for this composition**: 0.163 eV per atom
# **Calculated formation energy**: 1.38 eV per formula unit

=====

Record 6
# CuS6Br3 PBE optimized geometry
data_CuS6Br3
_chemical_formula_sum 'Cu1 S6 Br3'
_cell_length_a 3.530
_cell_length_b 10.241
_cell_length_c 10.241
_cell_angle_alpha 118.70
_cell_angle_beta 96.60
_cell_angle_gamma 96.60
_space_group_name_H-M_alt 'P 1'
_space_group_IT_number 1
loop_
_space_group_symop_operation_xyz
'x,y,z'
loop_
_atom_site_label
_atom_site_type_symbol
_atom_site_fract_x
_atom_site_fract_y
_atom_site_fract_z
Cu1 Cu 0.502 0.000 0.000
S1 S 0.354 0.000 0.637
S2 S 0.354 0.637 0.000
S3 S 0.748 0.000 0.520
S4 S 0.748 0.520 0.000
S5 S 0.228 0.480 0.480
S6 S 0.717 0.363 0.363
Br1 Br 0.069 0.194 0.000
Br2 Br 0.069 0.000 0.194
Br3 Br 0.874 0.806 0.806
# **Formation energy from raw total energies**: 181 meV per atom